Computed, not measured: crystalline Si3HgN at its relaxed geometry at the PBEsol level of DFT.

CIF file:
```
data_Si3HgN
_chemical_formula_sum 'Si3 Hg1 N1'
_space_group_name_H-M_alt 'P 1'
_space_group_IT_number 1
_cell_length_a 4.1448
_cell_length_b 4.1448
_cell_length_c 4.1448
_cell_angle_alpha 90.00
_cell_angle_beta 90.00
_cell_angle_gamma 90.00
loop_
_space_group_symop_operation_xyz
'x,y,z'
loop_
_atom_site_label
_atom_site_type_symbol
_atom_site_fract_x
_atom_site_fract_y
_atom_site_fract_z
_atom_site_occupancy
Si1 Si 0.0000 0.0000 0.5000 1
Si2 Si 0.0000 0.5000 0.0000 1
Si3 Si 0.5000 0.0000 0.0000 1
Hg1 Hg 0.5000 0.5000 0.5000 1
N1 N 0.0000 0.0000 0.0000 1
```

The formation energy (no corrections) comes out at 2.91 eV/f.u. The volume comes out at 71.20 Å³ per cell. As for the symmetry: No. 221. The calculation puts the total energy at -4.6847 eV per atom.